[1]
Density functional theory data (PBE) for a relaxed SmCd2Au4 crystal.

Output
Space-group type: I4/mmm
ΔH_f (0 K), eV per atom: -0.4859

a = 7.225 Å, b = 7.225 Å, c = 5.576 Å
α = 90.00°, β = 90.00°, γ = 90.00°
Element x y z (fractional)
Sm (0.000, 0.000, 0.000)
Sm (0.500, 0.500, 0.500)
Cd (0.000, 0.500, 0.250)
Cd (0.000, 0.500, 0.750)
Cd (0.500, 0.000, 0.250)
Cd (0.500, 0.000, 0.750)
Au (0.196, 0.196, 0.500)
Au (0.196, 0.804, 0.500)
Au (0.304, 0.304, 0.000)
Au (0.304, 0.696, 0.000)
Au (0.696, 0.304, 0.000)
Au (0.696, 0.696, 0.000)
Au (0.804, 0.196, 0.500)
Au (0.804, 0.804, 0.500)

***

[2]
Density functional theory data (PBE) for a relaxed HfPa2Cd crystal.

Output
Space-group type: R-3m
Distance to the lowest polymorph of the same formula, eV per formula unit: 0.44
ΔH_f (0 K), eV per atom: 0.2380

a = 3.121 Å, b = 3.121 Å, c = 36.106 Å
α = 90.00°, β = 90.00°, γ = 120.00°
Element x y z (fractional)
Hf (0.000, 0.000, 0.000)
Hf (0.333, 0.667, 0.667)
Hf (0.667, 0.333, 0.333)
Pa (0.000, 0.000, 0.409)
Pa (0.000, 0.000, 0.591)
Pa (0.333, 0.667, 0.076)
Pa (0.333, 0.667, 0.258)
Pa (0.667, 0.333, 0.742)
Pa (0.667, 0.333, 0.924)
Cd (0.000, 0.000, 0.500)
Cd (0.333, 0.667, 0.167)
Cd (0.667, 0.333, 0.833)

***

[3]
Density functional theory data (PBE) for a relaxed AcPr5Er5 crystal.

Output
Space-group type: P-6m2
ΔH_f (0 K), eV per atom: 0.2670

a = 6.203 Å, b = 6.203 Å, c = 11.918 Å
α = 90.00°, β = 90.00°, γ = 120.00°
Element x y z (fractional)
Ac (0.000, 0.000, 0.000)
Pr (0.000, 0.000, 0.325)
Pr (0.000, 0.000, 0.675)
Pr (0.333, 0.667, 0.159)
Pr (0.333, 0.667, 0.841)
Pr (0.667, 0.333, 0.000)
Er (0.501, 0.002, 0.500)
Er (0.501, 0.499, 0.500)
Er (0.667, 0.333, 0.266)
Er (0.667, 0.333, 0.734)
Er (0.998, 0.499, 0.500)

***

[4]
Density functional theory data (PBE) for a relaxed HoLuGaPt crystal.

Output
Space-group type: F-43m
ΔH_f (0 K), eV per atom: -0.9001

a = 6.989 Å, b = 6.989 Å, c = 6.989 Å
α = 90.00°, β = 90.00°, γ = 90.00°
Element x y z (fractional)
Ho (0.000, 0.000, 0.000)
Ho (0.000, 0.500, 0.500)
Ho (0.500, 0.000, 0.500)
Ho (0.500, 0.500, 0.000)
Lu (0.000, 0.000, 0.500)
Lu (0.000, 0.500, 0.000)
Lu (0.500, 0.000, 0.000)
Lu (0.500, 0.500, 0.500)
Ga (0.250, 0.250, 0.250)
Ga (0.250, 0.750, 0.750)
Ga (0.750, 0.250, 0.750)
Ga (0.750, 0.750, 0.250)
Pt (0.250, 0.250, 0.750)
Pt (0.250, 0.750, 0.250)
Pt (0.750, 0.250, 0.250)
Pt (0.750, 0.750, 0.750)

***

[5]
Density functional theory data (PBE) for a relaxed CoSnOs3 crystal.

Output
Space-group type: Pm-3m
Distance to the lowest polymorph of the same formula, eV per formula unit: 0.00
ΔH_f (0 K), eV per atom: 1.6384

a = 4.462 Å, b = 4.462 Å, c = 4.462 Å
α = 90.00°, β = 90.00°, γ = 90.00°
Element x y z (fractional)
Co (0.000, 0.000, 0.000)
Sn (0.500, 0.500, 0.500)
Os (0.000, 0.000, 0.500)
Os (0.000, 0.500, 0.000)
Os (0.500, 0.000, 0.000)

***

[6]
Density functional theory data (PBE) for a relaxed NbHgS2 crystal.

Output
Space-group type: P3m1
Formation energy without anion corrections, meV per atom: -738

a = 3.371 Å, b = 3.371 Å, c = 9.562 Å
α = 90.00°, β = 90.00°, γ = 120.00°
Element x y z (fractional)
Nb (0.000, 0.000, 0.000)
Hg (0.333, 0.667, 0.486)
S (0.333, 0.667, 0.837)
S (0.667, 0.333, 0.163)

***

[7]
Density functional theory data (PBE) for a relaxed Rb2Ho2HfTe6 crystal.

Output
Space-group type: C2/m
Formation energy without anion corrections, meV per atom: -1221

a = 7.498 Å, b = 7.498 Å, c = 9.165 Å
α = 98.25°, β = 98.25°, γ = 119.77°
Element x y z (fractional)
Rb (0.171, 0.829, 0.000)
Rb (0.829, 0.171, 0.000)
Ho (0.332, 0.668, 0.500)
Ho (0.668, 0.332, 0.500)
Hf (0.000, 0.000, 0.500)
Te (0.071, 0.386, 0.695)
Te (0.252, 0.252, 0.307)
Te (0.386, 0.071, 0.695)
Te (0.614, 0.929, 0.305)
Te (0.748, 0.748, 0.693)
Te (0.929, 0.614, 0.305)

***

[8]
Density functional theory data (PBE) for a relaxed LaCo2Os crystal.

Output
Space-group type: R-3m
Distance to the lowest polymorph of the same formula, eV per formula unit: 3.00
ΔH_f (0 K), eV per atom: 0.7219

a = 2.844 Å, b = 2.844 Å, c = 27.609 Å
α = 90.00°, β = 90.00°, γ = 120.00°
Element x y z (fractional)
La (0.000, 0.000, 0.000)
La (0.333, 0.667, 0.667)
La (0.667, 0.333, 0.333)
Co (0.000, 0.000, 0.237)
Co (0.000, 0.000, 0.763)
Co (0.333, 0.667, 0.429)
Co (0.333, 0.667, 0.904)
Co (0.667, 0.333, 0.096)
Co (0.667, 0.333, 0.571)
Os (0.000, 0.000, 0.500)
Os (0.333, 0.667, 0.167)
Os (0.667, 0.333, 0.833)

***

[9]
Density functional theory data (PBE) for a relaxed Be2InP crystal.

Output
Space-group type: I-4m2
Distance to the lowest polymorph of the same formula, eV per formula unit: 1.89
ΔH_f (0 K), eV per atom: 0.6193

a = 3.551 Å, b = 3.551 Å, c = 9.385 Å
α = 90.00°, β = 90.00°, γ = 90.00°
Element x y z (fractional)
Be (0.000, 0.000, 0.000)
Be (0.000, 0.500, 0.250)
Be (0.500, 0.000, 0.750)
Be (0.500, 0.500, 0.500)
In (0.000, 0.500, 0.750)
In (0.500, 0.000, 0.250)
P (0.000, 0.000, 0.500)
P (0.500, 0.500, 0.000)

***

[10]
Density functional theory data (PBE) for a relaxed KTl2HgAu2 crystal.

Output
Space-group type: P4/mmm
ΔH_f (0 K), eV per atom: -0.0458

a = 5.385 Å, b = 5.385 Å, c = 6.600 Å
α = 90.00°, β = 90.00°, γ = 90.00°
Element x y z (fractional)
K (0.000, 0.000, 0.000)
Tl (0.500, 0.500, 0.251)
Tl (0.500, 0.500, 0.749)
Hg (0.000, 0.000, 0.500)
Au (0.000, 0.500, 0.500)
Au (0.500, 0.000, 0.500)

***

[11]
Density functional theory data (PBE) for a relaxed Ac3Ag2Ir crystal.

Output
Space-group type: C2/c
Distance to the lowest polymorph of the same formula, eV per formula unit: 0.03
ΔH_f (0 K), eV per atom: -0.3822

a = 8.049 Å, b = 8.049 Å, c = 8.790 Å
α = 105.78°, β = 105.78°, γ = 46.39°
Element x y z (fractional)
Ac (0.000, 0.000, 0.250)
Ac (0.000, 0.000, 0.750)
Ac (0.357, 0.358, 0.929)
Ac (0.358, 0.357, 0.429)
Ac (0.642, 0.643, 0.571)
Ac (0.643, 0.642, 0.071)
Ag (0.177, 0.178, 0.589)
Ag (0.178, 0.177, 0.089)
Ag (0.822, 0.823, 0.911)
Ag (0.823, 0.822, 0.411)
Ir (0.500, 0.500, 0.250)
Ir (0.500, 0.500, 0.750)

***

[12]
Density functional theory data (PBE) for a relaxed CsNpS2Cl crystal.

Output
Space-group type: P2_1/m
Formation energy without anion corrections, meV per atom: -1515

a = 9.063 Å, b = 4.054 Å, c = 9.501 Å
α = 90.00°, β = 102.98°, γ = 90.00°
Element x y z (fractional)
Cs (0.176, 0.250, 0.269)
Cs (0.824, 0.750, 0.731)
Np (0.338, 0.750, 0.856)
Np (0.662, 0.250, 0.144)
S (0.158, 0.250, 0.882)
S (0.461, 0.750, 0.144)
S (0.539, 0.250, 0.856)
S (0.842, 0.750, 0.118)
Cl (0.256, 0.750, 0.572)
Cl (0.744, 0.250, 0.428)

***

For reference, magnetization by record: 0.0, 0.0, 0.0, 0.0, 2.8, 0.0, 0.0, 3.1, 0.0, 0.0, 0.0, 3.0 μB/f.u..
For reference, final energy by record: -3.29, -7.23, -4.35, -5.44, -7.32, -5.40, -4.85, -6.87, -3.28, -2.16, -4.86, -6.29 eV per atom.